The following is a DFT calculation (PBE-GGA) of K11HgAu2 after structural relaxation.

abc: 12.696 13.265 13.265
angles: 74.47 61.41 61.41
Fractional positions:
K 0.157 0.072 0.182
K 0.454 0.958 0.357
K 0.046 0.143 0.542
K 0.546 0.042 0.643
K 0.374 0.722 0.278
K 0.731 0.458 0.857
K 0.874 0.778 0.222
K 0.911 0.428 0.318
K 0.089 0.572 0.682
K 0.657 0.682 0.572
K 0.126 0.222 0.778
K 0.769 0.643 0.042
K 0.843 0.928 0.818
K 0.343 0.318 0.428
K 0.411 0.818 0.928
K 0.269 0.542 0.143
K 0.231 0.357 0.958
K 0.589 0.182 0.072
K 0.626 0.278 0.722
K 0.954 0.857 0.458
K 0.500 0.500 0.500
K 0.000 0.000 0.000
Hg 0.250 0.250 0.250
Hg 0.750 0.750 0.750
Au 0.857 0.175 0.825
Au 0.143 0.825 0.175
Au 0.357 0.325 0.675
Au 0.643 0.675 0.325

Summary:
- ΔE_f (kJ per mole of atoms) = -8.8

---

The following is a DFT calculation (PBE-GGA) of LiCaPuN3 after structural relaxation.

abc: 3.504 7.066 6.894
angles: 104.16 90.00 90.00
Each line ends with the local moment (μB).
Fractional positions:
N 0.750 0.210 0.545  -0.14
N 0.250 0.790 0.455  -0.14
N 0.750 0.865 0.134  -0.18
N 0.250 0.135 0.866  -0.18
N 0.250 0.567 0.868  -0.15
N 0.750 0.433 0.132  -0.15
Ca 0.250 0.195 0.225  -0.01
Ca 0.750 0.805 0.775  -0.01
Li 0.250 0.074 0.583  -0.01
Li 0.750 0.926 0.417  -0.01
Pu 0.250 0.681 0.166  2.57
Pu 0.750 0.319 0.834  2.57

Summary:
- raw formation energy (meV/atom) = -808

---

The following is a DFT calculation (PBE-GGA) of KSrTa after structural relaxation.

abc: 5.267 5.267 9.629
angles: 90.00 90.00 90.00
Each line ends with the local moment (μB).
Fractional positions:
Ta 0.000 0.500 0.735  2.21
Ta 0.500 0.000 0.265  2.21
Sr 0.500 0.500 0.500  0.12
Sr 0.000 0.000 0.500  0.12
K 0.500 0.000 0.863  0.03
K 0.000 0.500 0.137  0.03

Summary:
- energy relative to the lowest polymorph listed for this composition (meV per atom) = 1226
- ΔE_f (kJ per mole of atoms) = 156.9

---

The following is a DFT calculation (PBE-GGA) of Tl2VMo after structural relaxation.

abc: 7.666 7.666 6.151
angles: 51.45 51.45 90.00
Each line ends with the local moment (μB).
Fractional positions:
Tl 0.621 0.125 0.250  0.00
Tl 0.129 0.625 0.250  0.00
Tl 0.875 0.871 0.750  0.00
Tl 0.375 0.379 0.750  0.00
Mo 0.000 0.000 0.000  -1.17
Mo 0.750 0.250 0.500  -1.17
V 0.500 0.500 0.000  2.02
V 0.250 0.750 0.500  2.02

Summary:
- energy relative to the lowest polymorph listed for this composition (meV per atom) = 327
- ΔE_f (kJ per mole of atoms) = 104.8

---

The following is a DFT calculation (PBE-GGA) of Ag4PtAu after structural relaxation.

abc: 2.884 2.884 12.549
angles: 90.00 90.00 90.00
Fractional positions:
Pt 0.000 0.000 0.000
Ag 0.500 0.500 0.161
Ag 0.000 0.000 0.330
Ag 0.000 0.000 0.670
Ag 0.500 0.500 0.839
Au 0.500 0.500 0.500

Summary:
- energy relative to the lowest polymorph listed for this composition (meV per atom) = 1
- ΔE_f (kJ per mole of atoms) = -0.8

---

The following is a DFT calculation (PBE-GGA) of ScMoIr2 after structural relaxation.

abc: 3.277 3.277 6.144
angles: 90.00 90.00 90.00
Fractional positions:
Sc 0.500 0.500 0.767
Ir 0.000 0.000 0.992
Ir 0.500 0.500 0.275
Mo 0.000 0.000 0.465

Summary:
- energy relative to the lowest polymorph listed for this composition (meV per atom) = 357
- ΔE_f (kJ per mole of atoms) = -15.6

---

The following is a DFT calculation (PBE-GGA) of VPHRuS after structural relaxation.

abc: 3.021 3.021 23.599
angles: 90.00 90.00 120.00
Fractional positions:
V 0.333 0.667 0.652
V 0.000 0.000 0.985
V 0.667 0.333 0.318
H 0.667 0.333 0.958
H 0.000 0.000 0.625
H 0.333 0.667 0.292
S 0.333 0.667 0.049
S 0.000 0.000 0.382
S 0.667 0.333 0.715
Ru 0.000 0.000 0.485
Ru 0.667 0.333 0.818
Ru 0.333 0.667 0.151
P 0.333 0.667 0.547
P 0.667 0.333 0.214
P 0.000 0.000 0.881

Summary:
- energy relative to the lowest polymorph listed for this composition (meV per atom) = 0

---

The following is a DFT calculation (PBE-GGA) of Nb2PPt after structural relaxation.

abc: 6.985 6.985 5.689
angles: 52.13 52.13 90.00
Fractional positions:
P 0.250 0.750 0.500
P 0.500 0.500 0.000
Nb 0.150 0.625 0.250
Nb 0.375 0.400 0.750
Nb 0.875 0.850 0.750
Nb 0.600 0.125 0.250
Pt 0.750 0.250 0.500
Pt 0.000 0.000 0.000

Summary:
- ΔE_f (kJ per mole of atoms) = -33.6

---

The following is a DFT calculation (PBE-GGA) of KPbBr3O after structural relaxation.

abc: 11.809 11.809 7.967
angles: 90.00 90.00 158.29
Fractional positions:
Br 0.594 0.406 0.367
Br 0.406 0.594 0.867
Br 0.953 0.047 0.299
Br 0.047 0.953 0.799
Br 0.753 0.247 0.648
Br 0.247 0.753 0.148
K 0.356 0.644 0.468
K 0.644 0.356 0.968
O 0.127 0.873 0.774
O 0.873 0.127 0.274
Pb 0.167 0.833 0.508
Pb 0.833 0.167 0.008

Summary:
- raw formation energy (meV/atom) = -960

---

The following is a DFT calculation (PBE-GGA) of Pm4Pr2Y2Ho after structural relaxation.

abc: 3.672 9.676 9.743
angles: 115.15 90.00 100.94
Fractional positions:
Pr 0.665 0.331 0.999
Pr 0.335 0.669 0.001
Y 0.147 0.294 0.665
Y 0.853 0.706 0.335
Pm 0.186 0.371 0.334
Pm 0.518 0.037 0.333
Pm 0.814 0.629 0.666
Pm 0.482 0.963 0.667
Ho 0.000 0.000 0.000

Summary:
- ΔE_f (kJ per mole of atoms) = 0.4

---

The following is a DFT calculation (PBE-GGA) of Er7Co2Pd2 after structural relaxation.

abc: 3.703 9.006 9.006
angles: 61.75 78.14 78.14
Fractional positions:
Er 0.811 0.089 0.290
Er 0.137 0.120 0.606
Er 0.500 0.009 0.991
Er 0.381 0.721 0.517
Er 0.189 0.710 0.911
Er 0.863 0.394 0.880
Er 0.619 0.483 0.279
Co 0.258 0.346 0.139
Co 0.742 0.861 0.654
Pd 0.000 0.773 0.227
Pd 0.500 0.348 0.652

Summary:
- energy relative to the lowest polymorph listed for this composition (meV per atom) = 0
- ΔE_f (kJ per mole of atoms) = -41.5

---

The following is a DFT calculation (PBE-GGA) of RbIrSeN2 after structural relaxation.

abc: 4.327 4.327 6.593
angles: 90.00 90.00 90.00
Each line ends with the local moment (μB).
Fractional positions:
N 0.500 0.000 0.000  1.15
N 0.000 0.500 0.000  1.15
Se 0.000 0.000 0.500  0.21
Ir 0.500 0.500 0.500  1.71
Rb 0.000 0.000 0.000  0.10

Summary:
- raw formation energy (meV/atom) = 3123
- energy relative to the lowest polymorph listed for this composition (meV per atom) = 2300

---

The following is a DFT calculation (PBE-GGA) of BeRu2Au after structural relaxation.

abc: 3.604 3.604 9.639
angles: 79.23 79.23 90.00
Fractional positions:
Ru 0.159 0.625 0.250
Ru 0.375 0.409 0.750
Ru 0.875 0.841 0.750
Ru 0.591 0.125 0.250
Be 0.250 0.750 0.500
Be 0.500 0.500 0.000
Au 0.000 0.000 0.000
Au 0.750 0.250 0.500

Summary:
- ΔE_f (kJ per mole of atoms) = 55.1

---

The following is a DFT calculation (PBE-GGA) of AcDyTeSe after structural relaxation.

abc: 4.233 4.234 8.210
angles: 90.00 104.92 120.01
Fractional positions:
Dy 0.488 0.142 0.646
Se 0.288 0.542 0.845
Ac 0.118 0.957 0.089
Te 0.984 0.390 0.389

Summary:
- raw formation energy (meV/atom) = -1570

---

The following is a DFT calculation (PBE-GGA) of Rb4LaPa3S12 after structural relaxation.

abc: 9.291 9.291 9.291
angles: 109.47 109.47 109.47
Fractional positions:
Rb 0.000 0.000 0.500
Rb 0.500 0.000 0.000
Rb 0.000 0.500 0.000
Rb 0.500 0.500 0.500
S 0.738 0.000 0.738
S 0.500 0.750 0.250
S 0.000 0.738 0.738
S 0.262 0.000 0.262
S 0.250 0.500 0.750
S 0.738 0.738 0.000
S 0.262 0.262 0.000
S 0.750 0.250 0.500
S 0.000 0.262 0.262
S 0.750 0.500 0.250
S 0.250 0.750 0.500
S 0.500 0.250 0.750
La 0.000 0.000 0.000
Pa 0.500 0.500 0.000
Pa 0.500 0.000 0.500
Pa 0.000 0.500 0.500

Summary:
- raw formation energy (meV/atom) = -1478

---

The following is a DFT calculation (PBE-GGA) of CaCrCo2 after structural relaxation.

abc: 6.782 6.782 5.578
angles: 52.56 52.56 90.00
Each line ends with the local moment (μB).
Fractional positions:
Co 0.875 0.949 0.750  -0.10
Co 0.375 0.301 0.750  -0.08
Co 0.051 0.625 0.250  -0.13
Co 0.699 0.125 0.250  -0.11
Cr 0.750 0.250 0.500  0.74
Cr 0.000 0.000 0.000  0.74
Ca 0.250 0.750 0.500  0.01
Ca 0.500 0.500 0.000  0.01

Summary:
- energy relative to the lowest polymorph listed for this composition (meV per atom) = 406
- ΔE_f (kJ per mole of atoms) = 65.4

---

The following is a DFT calculation (PBE-GGA) of BaSnPt3 after structural relaxation.

abc: 5.179 6.003 8.454
angles: 90.00 90.00 90.00
Fractional positions:
Pt 0.000 0.251 0.750
Pt 0.500 0.500 0.000
Pt 0.500 0.000 0.500
Pt 0.000 0.751 0.750
Pt 0.000 0.749 0.250
Pt 0.000 0.249 0.250
Sn 0.000 0.000 0.500
Sn 0.000 0.500 0.000
Ba 0.500 0.500 0.500
Ba 0.500 0.000 0.000

Summary:
- energy relative to the lowest polymorph listed for this composition (meV per atom) = 0
- ΔE_f (kJ per mole of atoms) = -23.0

---

The following is a DFT calculation (PBE-GGA) of In3ReSn after structural relaxation.

abc: 5.246 5.246 5.246
angles: 90.00 90.00 90.00
Fractional positions:
Sn 0.500 0.500 0.500
Re 0.000 0.000 0.000
In 0.000 0.000 0.500
In 0.500 0.000 0.000
In 0.000 0.500 0.000

Summary:
- energy relative to the lowest polymorph listed for this composition (meV per atom) = 0
- ΔE_f (kJ per mole of atoms) = 57.7

---

The following is a DFT calculation (PBE-GGA) of Tm2ZrO after structural relaxation.

abc: 3.114 3.114 8.080
angles: 90.00 90.00 90.00
Fractional positions:
O 0.500 0.500 0.000
Tm 0.000 0.000 0.189
Tm 0.000 0.000 0.811
Zr 0.500 0.500 0.500

Summary:
- raw formation energy (meV/atom) = -922
- energy relative to the lowest polymorph listed for this composition (meV per atom) = 455

---

The following is a DFT calculation (PBE-GGA) of ZrTc after structural relaxation.

abc: 5.376 5.376 5.453
angles: 90.00 90.00 90.00
Fractional positions:
Zr 0.707 0.707 0.500
Zr 0.293 0.293 0.500
Zr 0.793 0.207 0.000
Zr 0.207 0.793 0.000
Tc 0.692 0.692 0.000
Tc 0.308 0.308 0.000
Tc 0.192 0.808 0.500
Tc 0.808 0.192 0.500

Summary:
- ΔE_f (kJ per mole of atoms) = 43.6

---

The following is a DFT calculation (PBE-GGA) of LaTl2RhI after structural relaxation.

abc: 5.371 5.371 5.364
angles: 90.00 90.00 90.00
Fractional positions:
I 0.500 0.500 0.500
Rh 0.000 0.000 0.000
La 0.000 0.000 0.500
Tl 0.500 0.000 0.000
Tl 0.000 0.500 0.000

Summary:
- raw formation energy (meV/atom) = -585

---

The following is a DFT calculation (PBE-GGA) of BaAlMo2 after structural relaxation.

abc: 3.037 3.037 9.850
angles: 90.00 90.00 111.06
Fractional positions:
Mo 0.000 0.000 0.052
Mo 0.500 0.500 0.242
Al 0.000 0.000 0.453
Ba 0.500 0.500 0.753

Summary:
- ΔE_f (kJ per mole of atoms) = 58.1

---

The following is a DFT calculation (PBE-GGA) of PaBeTl2O6 after structural relaxation.

abc: 5.589 5.589 6.382
angles: 64.04 64.01 59.98
Fractional positions:
O 0.084 0.438 0.728
O 0.018 0.567 0.252
O 0.164 0.018 0.252
O 0.749 0.085 0.728
O 0.438 0.750 0.727
O 0.567 0.163 0.251
Tl 0.023 0.024 0.929
Tl 0.541 0.540 0.379
Be 0.256 0.256 0.231
Pa 0.821 0.820 0.539

Summary:
- raw formation energy (meV/atom) = -1853

---

Computed density of states at the Fermi level, in the same sequence as the records: 15.28, 8.05, 7.32, 12.85, 0.99, 3.88, 7.75, 4.42, 0.00, 11.88, 10.55, 6.83, 9.08, 1.21, 9.62, 18.14, 5.69, 3.10, 2.57, 9.78, 1.97, 3.27, 2.96 states/eV per cell.
Computed calculated total energy, in the same sequence as the records: -40.41, -96.14, -19.50, -40.68, -20.78, -35.53, -101.14, -65.97, -41.08, -46.03, -61.27, -14.35, -46.54, -21.62, -116.37, -46.25, -50.48, -21.68, -26.14, -72.04, -21.49, -24.92, -66.24 eV for the cell shown.